First-principles (PBEsol) data for crystalline MgRh3 at its relaxed geometry, as listed in the Alexandria database.

a b c (Å): 4.419 4.679 5.432
angles (deg): 90.00 90.00 90.00
Sites, in units of the cell vectors:
Rh (0.500, 0.668, 0.000)
Mg (0.000, 0.341, 0.000)
Rh (0.500, 0.162, 0.247)
Rh (0.000, 0.838, 0.253)
Rh (0.000, 0.838, 0.747)
Mg (0.500, 0.659, 0.500)
Rh (0.000, 0.332, 0.500)
Rh (0.500, 0.162, 0.753)

Electronic total energy = -6.678 eV per atom
Energy relative to the elements = -0.145 eV/atom

---

First-principles (PBEsol) data for crystalline LaBeTl2Se at its relaxed geometry, as listed in the Alexandria database.

a b c (Å): 3.961 5.967 5.967
angles (deg): 90.00 90.00 90.00
Sites, in units of the cell vectors:
Tl (0.000, 0.000, 0.500)
Se (0.000, 0.000, 0.000)
La (0.500, 0.500, 0.500)
Be (0.500, 0.000, 0.000)
Tl (0.000, 0.500, 0.000)

Electronic total energy = -3.547 eV per atom
Formation energy from raw total energies = 0.1440 eV per atom

---

First-principles (PBEsol) data for crystalline BaInPt3 at its relaxed geometry, as listed in the Alexandria database.

a b c (Å): 5.255 5.255 5.255
angles (deg): 90.00 90.00 90.00
Sites, in units of the cell vectors:
Pt (0.500, 0.000, 0.000)
Pt (0.000, 0.500, 0.000)
Ba (0.000, 0.000, 0.000)
Pt (0.000, 0.000, 0.500)
In (0.500, 0.500, 0.500)

Electronic total energy = -3.648 eV per atom
Energy relative to the elements = 1.556 eV/atom

---

What is the electronic total energy in the first record? -6.678 eV per atom